Here is a relaxed CeHgPt crystal from Alexandria. Energies are from GGA-PBE.

Cell: 4.795 4.795 4.795 Å, 60.00 60.00 60.00°
Positions (direct):
Ce (0.500, 0.500, 0.500)
Pt (0.250, 0.250, 0.250)
Hg (0.000, 0.000, 0.000)

Output
**Energy of formation**: -0.68 eV per atom
**Crystal system**: cubic
**Volume**: 78.0 Å³/cell
**Final energy**: -4.770 eV per atom